(1)
A plane-wave DFT calculation with PBE was carried out for an optimized crystal structure of ErMg2Cd6.

* energy of formation: -0.087 eV/atom
* M_tot: 0.00 μB/atom
* E: -1.558 eV per atom

Unit cell a=14.9938 b=11.4136 c=5.0399 alpha=90.00 beta=90.00 gamma=90.00
With the nearest neighbours (Å) after each atom.
Space group Cmcm (No. 63)
Inequivalent atoms, fractional coordinates:
Er: 0.0000 0.1887 0.2500 x4  12 Cd 3.17-3.31, 2 Mg 3.55
Mg: 0.1562 0.4221 0.2500 x8  4 Cd 2.90-3.11, 2 Mg 3.08
Cd: 0.0952 0.3250 0.7500 x8  3 Cd 2.86-2.95, 3 Mg 2.90-3.03
Cd: 0.1045 0.0668 0.7500 x8  7 Cd 2.94-3.16, 2 Er 3.28
Cd: 0.2105 0.1595 0.2500 x8  4 Cd 2.92-3.16, 1 Mg 3.11, 1 Er 3.17

=====

(2)
A plane-wave DFT calculation with PBE was carried out for an optimized crystal structure of ErMgCd11.

* energy of formation: -0.079 eV/atom
* M_tot: 0.00 μB/atom
* E: -1.327 eV per atom

Unit cell a=5.9859 b=13.9957 c=7.6059 alpha=90.00 beta=113.04 gamma=90.00
With the nearest neighbours (Å) after each atom.
Space group C2/m (No. 12)
Inequivalent atoms, fractional coordinates:
Er: 0.0000 0.0000 0.0000 x2  18 Cd 3.44-3.81, 2 Mg 3.80
Mg: 0.0000 0.0000 0.5000 x2  10 Cd 2.89-3.03
Cd: 0.0000 0.5000 0.5000 x2  8 Cd 2.93-3.05, 2 Mg 2.99
Cd: 0.1139 0.3942 0.2136 x8  1 Mg 2.89, 7 Cd 2.90-3.23
Cd: 0.1715 0.1733 0.3495 x8  8 Cd 3.01-3.33, 1 Mg 3.03
Cd: 0.2500 0.2500 0.0000 x4  10 Cd 2.90-3.07

=====

(3)
A plane-wave DFT calculation with PBE was carried out for an optimized crystal structure of ErMg2Cd5.

* polymorph energy (0 for the lowest one): 0.0 kJ per mole of atoms
* energy of formation: -0.168 eV/atom
* M_tot: 0.00 μB/atom
* E: -1.709 eV per atom

Unit cell a=4.5233 b=4.5233 c=17.7926 alpha=90.00 beta=90.00 gamma=90.00
With the nearest neighbours (Å) after each atom.
Space group I4/mmm (No. 139)
Inequivalent atoms, fractional coordinates:
Er: 0.0000 0.0000 0.0000 x2  12 Cd 3.20-3.24
Mg: 0.0000 0.0000 0.2460 x4  8 Cd 3.06-3.16, 4 Mg 3.20
Cd: 0.0000 0.0000 0.5000 x2  4 Er 3.20, 8 Cd 3.24
Cd: 0.0000 0.5000 0.1301 x8  4 Mg 3.06-3.16, 6 Cd 3.20-3.24, 2 Er 3.24

=====

(4)
A plane-wave DFT calculation with PBE was carried out for an optimized crystal structure of Er2Mg3Cd.

* polymorph energy (0 for the lowest one): 0.0 kJ per mole of atoms
* energy of formation: -0.131 eV/atom
* M_tot: 0.00 μB/atom
* E: -2.602 eV per atom

Unit cell a=6.5692 b=10.3041 c=17.7207 alpha=90.00 beta=90.00 gamma=90.00
With the nearest neighbours (Å) after each atom.
Space group Fmmm (No. 69)
Inequivalent atoms, fractional coordinates:
Er: 0.2491 0.0000 0.0000 x8  2 Er 3.27-3.30, 2 Cd 3.37, 10 Mg 3.38-3.42
Er: 0.2500 0.2500 0.2500 x8  2 Er 3.28, 8 Mg 3.37-3.38, 4 Cd 3.40
Mg: 0.0000 0.0000 0.3322 x8  3 Cd 2.94-3.28, 2 Mg 3.00
Mg: 0.0000 0.2477 0.0838 x16  1 Cd 2.94, 4 Mg 2.97-3.28
Cd: 0.0000 0.0000 0.1662 x8  5 Mg 2.94-3.28

=====

(5)
A plane-wave DFT calculation with PBE was carried out for an optimized crystal structure of Er2Mg2Cd15.

* energy of formation: -0.088 eV/atom
* M_tot: 0.00 μB/atom
* E: -1.459 eV per atom

Unit cell a=9.9708 b=9.9708 c=15.1221 alpha=90.00 beta=90.00 gamma=120.00
With the nearest neighbours (Å) after each atom.
Space group R-3m (No. 166, hexagonal axes)
Inequivalent atoms, fractional coordinates:
Er: 0.0000 0.0000 0.1695 x6  1 Mg 3.45, 15 Cd 3.51-3.80
Mg: 0.0000 0.0000 0.3978 x6  12 Cd 3.04-3.35, 1 Mg 3.09
Cd: 0.0000 0.2981 0.5000 x18  8 Cd 2.94-3.27
Cd: 0.0000 0.5000 0.0000 x9  8 Cd 2.94-2.96, 2 Mg 3.04
Cd: 0.0141 0.5071 0.6430 x18  6 Cd 2.85-2.96

=====

(6)
A plane-wave DFT calculation with PBE was carried out for an optimized crystal structure of ErMg7Cd5.

* energy of formation: -0.106 eV/atom
* M_tot: 0.00 μB/atom
* E: -1.667 eV per atom

Unit cell a=5.8920 b=9.9879 c=9.9638 alpha=90.00 beta=90.00 gamma=90.00
With the nearest neighbours (Å) after each atom.
Space group Imm2 (No. 44)
Inequivalent atoms, fractional coordinates:
Er: 0.0000 0.0000 0.0000 x2  10 Mg 3.47-3.63, 10 Cd 3.60-3.89
Mg: 0.0000 0.0000 0.3493 x2  5 Mg 3.01-3.25, 4 Cd 3.06
Mg: 0.0000 0.0000 0.6514 x2  3 Mg 3.01-3.28, 6 Cd 3.07-3.26
Mg: 0.0000 0.2885 0.4944 x4  5 Cd 2.91-2.93, 4 Mg 3.02-3.25
Mg: 0.0000 0.3496 0.9973 x4  4 Mg 3.00-3.25, 5 Cd 3.04-3.30
Mg: 0.0000 0.5000 0.7105 x2  4 Cd 2.89, 4 Mg 3.02-3.23
Cd: 0.0000 0.5000 0.2923 x2  4 Mg 2.92-3.26, 4 Cd 2.97
Cd: 0.2495 0.2465 0.2435 x8  7 Mg 2.89-3.08, 3 Cd 2.94-2.97

=====

(7)
A plane-wave DFT calculation with PBE was carried out for an optimized crystal structure of Er2MgCd2.

* polymorph energy (0 for the lowest one): 0.0 kJ per mole of atoms
* energy of formation: -0.204 eV/atom
* M_tot: 0.00 μB/atom
* E: -2.714 eV per atom

Unit cell a=4.8430 b=15.1718 c=3.4523 alpha=90.00 beta=90.00 gamma=90.00
With the nearest neighbours (Å) after each atom.
Space group Cmmm (No. 65)
Inequivalent atoms, fractional coordinates:
Er: 0.0000 0.1164 0.0000 x4  6 Cd 3.21-3.32, 3 Er 3.45-3.53, 4 Mg 3.46
Mg: 0.0000 0.5000 0.5000 x2  2 Cd 2.98
Cd: 0.0000 0.3034 0.5000 x4  2 Cd 2.91, 1 Mg 2.98, 4 Er 3.21

=====

(8)
A plane-wave DFT calculation with PBE was carried out for an optimized crystal structure of Er3MgCd3.

* polymorph energy (0 for the lowest one): 0.0 kJ per mole of atoms
* energy of formation: -0.133 eV/atom
* M_tot: 0.00 μB/atom
* E: -2.709 eV per atom

Unit cell a=7.1874 b=10.4309 c=9.8661 alpha=90.00 beta=93.11 gamma=90.00
With the nearest neighbours (Å) after each atom.
Space group C2/m (No. 12)
Inequivalent atoms, fractional coordinates:
Er: 0.0000 0.1735 0.0000 x4  6 Cd 3.07-3.24
Er: 0.0000 0.2334 0.5000 x4  6 Cd 3.10-3.32, 4 Mg 3.20
Er: 0.0731 0.5000 0.8261 x4  5 Cd 3.08-3.36
Mg: 0.2126 0.5000 0.4682 x4  4 Cd 3.05-3.17, 1 Mg 3.15, 4 Er 3.20
Cd: 0.0278 0.0000 0.2731 x4  2 Mg 3.05-3.08, 5 Er 3.08-3.32, 4 Cd 3.10-3.33
Cd: 0.2328 0.2841 0.2427 x8  6 Er 3.07-3.36, 2 Cd 3.10-3.33, 1 Mg 3.17